Computed, not measured: a relaxed Ta2ZnNiF crystal at the PBE+U level of DFT.

Results
**Size of the total moment**: 0.00 μB/f.u.
**E_tot**: -21.72 eV/cell

Lattice parameters (Å, degrees): 4.755 4.755 4.190 90.00 90.00 90.00
Sites, in units of the cell vectors:
Ta1 0.000 0.500 0.000
Ta2 0.500 0.000 0.000
Zn1 0.000 0.000 0.000
Ni1 0.000 0.000 0.500
F1 0.500 0.500 0.500